1.
Material: TeAsIr4
Method: DFT, PBEsol
State: optimized geometry Values from VASP.

Quantum ESPRESSO input file:
```
&SYSTEM
  ibrav = 0, nat = 6, ntyp = 3
/
ATOMIC_SPECIES
Te 127.60 Te.upf
Ir 192.22 Ir.upf
As 74.92 As.upf
CELL_PARAMETERS angstrom
-0.970 3.899 -3.370
-1.766 -1.078 -4.819
-4.943 1.170 -1.304
ATOMIC_POSITIONS angstrom
Te -5.759 2.994 -7.120
Ir -3.762 0.956 -5.972
Ir -3.363 3.450 -5.246
Ir -2.877 1.496 -3.557
Ir -5.354 2.082 -4.211
As 0.000 0.000 0.000
```

Computed properties:
Formation energy without anion corrections, eV/atom: 0.70
Size of the total moment, μB/cell: 0.001
DOS at the Fermi energy, states/eV/f.u.: 6.8
E, eV for the cell shown: -43.7
Space-group type: F-43m

=====

2.
Material: TiPdOF2
Method: DFT, PBEsol
State: optimized geometry Values from VASP.

Quantum ESPRESSO input file:
```
&SYSTEM
  ibrav = 0, nat = 5, ntyp = 4
/
ATOMIC_SPECIES
F 19.00 F.upf
Pd 106.42 Pd.upf
O 16.00 O.upf
Ti 47.87 Ti.upf
CELL_PARAMETERS angstrom
3.785 0.000 0.000
0.000 3.958 0.000
0.000 0.000 3.958
ATOMIC_POSITIONS angstrom
F 0.000 0.000 1.979
Pd 1.893 1.979 1.979
O 1.893 0.000 0.000
F 0.000 1.979 0.000
Ti 0.000 0.000 0.000
```

Computed properties:
Formation energy without anion corrections, eV/atom: -1.92
Size of the total moment, μB/cell: 0.114
DOS at the Fermi energy, states/eV/f.u.: 3.8
E, eV for the cell shown: -33.0
Space-group type: P4/mmm

=====

3.
Material: ReIr2Cl
Method: DFT, PBEsol
State: optimized geometry Values from VASP.

Quantum ESPRESSO input file:
```
&SYSTEM
  ibrav = 0, nat = 4, ntyp = 3
/
ATOMIC_SPECIES
Cl 35.45 Cl.upf
Ir 192.22 Ir.upf
Re 186.21 Re.upf
CELL_PARAMETERS angstrom
-1.616 2.159 -0.069
-2.298 -1.611 3.409
5.088 2.174 1.597
ATOMIC_POSITIONS angstrom
Cl -1.149 -0.805 1.704
Ir -0.213 1.638 3.490
Ir 1.387 1.084 1.447
Re -0.808 1.080 -0.035
```

Computed properties:
ΔE to the lowest computed polymorph, eV/atom: 0.393
Formation energy without anion corrections, eV/atom: 0.71
Size of the total moment, μB/cell: 0.000
DOS at the Fermi energy, states/eV/f.u.: 4.0
E, eV for the cell shown: -32.2
Space-group type: Immm

=====

4.
Material: KZn2Tc
Method: DFT, PBEsol
State: optimized geometry Values from VASP.

Quantum ESPRESSO input file:
```
&SYSTEM
  ibrav = 0, nat = 4, ntyp = 3
/
ATOMIC_SPECIES
Zn 65.41 Zn.upf
K 39.10 K.upf
Tc 98.00 Tc.upf
CELL_PARAMETERS angstrom
-0.069 0.461 4.691
3.887 -0.891 2.514
2.341 3.538 2.056
ATOMIC_POSITIONS angstrom
Zn 4.619 2.331 6.945
K 0.000 0.000 0.000
Tc 3.080 1.554 4.630
Zn 1.540 0.777 2.315
```

Computed properties:
Size of the total moment, μB/cell: 1.761
DOS at the Fermi energy, states/eV/f.u.: 3.6
E, eV for the cell shown: -11.7
Calculated formation energy, eV per atom: 0.97
Space-group type: Fm-3m

=====

5.
Material: LaY2Al2
Method: DFT, PBEsol
State: optimized geometry Values from VASP.

Quantum ESPRESSO input file:
```
&SYSTEM
  ibrav = 0, nat = 10, ntyp = 3
/
ATOMIC_SPECIES
La 138.91 La.upf
Y 88.91 Y.upf
Al 26.98 Al.upf
CELL_PARAMETERS angstrom
-0.456 -3.182 1.643
6.968 -2.982 -3.840
4.742 2.686 6.518
ATOMIC_POSITIONS angstrom
La 0.000 0.000 0.000
Y 4.247 -0.301 4.562
Al 2.623 0.702 2.087
Al 4.809 -1.525 -1.617
Y 7.007 -3.177 -0.241
La 5.855 -0.148 1.339
Al 6.901 1.229 4.295
Y 8.398 -1.414 3.559
Y 2.856 -2.063 0.763
Al 9.087 -0.997 0.591
```

Computed properties:
Size of the total moment, μB/cell: 0.000
DOS at the Fermi energy, states/eV/f.u.: 6.5
E, eV for the cell shown: -57.3
Calculated formation energy, eV per atom: -0.30
Space-group type: P4/mbm

=====

6.
Material: BaCo2Ni
Method: DFT, PBEsol
State: optimized geometry Values from VASP.

Quantum ESPRESSO input file:
```
&SYSTEM
  ibrav = 0, nat = 4, ntyp = 3
/
ATOMIC_SPECIES
Ba 137.33 Ba.upf
Ni 58.69 Ni.upf
Co 58.93 Co.upf
CELL_PARAMETERS angstrom
3.920 0.000 0.000
0.000 3.918 0.000
0.000 0.000 4.196
ATOMIC_POSITIONS angstrom
Ba 0.000 1.959 2.098
Ni 1.960 0.000 2.098
Co 0.000 0.000 0.000
Co 1.960 1.959 0.000
```

Computed properties:
Size of the total moment, μB/cell: 2.935
DOS at the Fermi energy, states/eV/f.u.: 7.9
E, eV for the cell shown: -19.7
Calculated formation energy, eV per atom: 1.01
Space-group type: P4/mmm

=====

7.
Material: Sr3HfF
Method: DFT, PBEsol
State: optimized geometry Values from VASP.

Quantum ESPRESSO input file:
```
&SYSTEM
  ibrav = 0, nat = 5, ntyp = 3
/
ATOMIC_SPECIES
Sr 87.62 Sr.upf
Hf 178.49 Hf.upf
F 19.00 F.upf
CELL_PARAMETERS angstrom
6.349 0.000 0.000
0.000 6.349 0.000
0.000 0.000 6.349
ATOMIC_POSITIONS angstrom
Sr 3.175 0.000 0.000
Sr 0.000 3.175 0.000
Hf 0.000 0.000 0.000
F 3.175 3.175 3.175
Sr 0.000 0.000 3.175
```

Computed properties:
Formation energy without anion corrections, eV/atom: 0.54
Size of the total moment, μB/cell: 4.538
DOS at the Fermi energy, states/eV/f.u.: 6.7
E, eV for the cell shown: -15.3
Space-group type: Pm-3m

=====

8.
Material: TlH2Rh2
Method: DFT, PBEsol
State: optimized geometry Values from VASP.

Quantum ESPRESSO input file:
```
&SYSTEM
  ibrav = 0, nat = 5, ntyp = 3
/
ATOMIC_SPECIES
H 1.01 H.upf
Rh 102.91 Rh.upf
Tl 204.38 Tl.upf
CELL_PARAMETERS angstrom
-2.947 1.174 -0.047
-0.386 -1.087 -2.956
-0.199 -4.650 3.439
ATOMIC_POSITIONS angstrom
H -1.126 -2.847 -0.509
Rh -2.248 -1.391 -0.898
Tl 0.000 0.000 0.000
Rh -1.285 -3.172 1.335
H -2.407 -1.716 0.946
```

Computed properties:
Size of the total moment, μB/cell: 0.000
DOS at the Fermi energy, states/eV/f.u.: 1.4
E, eV for the cell shown: -25.5
Space-group type: I4/mmm

=====

9.
Material: LiBeCr3
Method: DFT, PBEsol
State: optimized geometry Values from VASP.

Quantum ESPRESSO input file:
```
&SYSTEM
  ibrav = 0, nat = 5, ntyp = 3
/
ATOMIC_SPECIES
Li 6.94 Li.upf
Cr 52.00 Cr.upf
Be 9.01 Be.upf
CELL_PARAMETERS angstrom
-2.362 3.094 0.667
-2.937 -2.453 0.977
1.180 0.088 3.768
ATOMIC_POSITIONS angstrom
Li -2.060 0.365 2.706
Cr -1.469 -1.226 0.488
Be 0.000 0.000 0.000
Cr 0.590 0.044 1.884
Cr -1.181 1.547 0.334
```

Computed properties:
Size of the total moment, μB/cell: 0.030
DOS at the Fermi energy, states/eV/f.u.: 5.8
E, eV for the cell shown: -30.7
Calculated formation energy, eV per atom: 1.19
Space-group type: Pm-3m

=====

10.
Material: Tb3AlNi8
Method: DFT, PBEsol
State: optimized geometry Values from VASP.

Quantum ESPRESSO input file:
```
&SYSTEM
  ibrav = 0, nat = 24, ntyp = 3
/
ATOMIC_SPECIES
Tb 158.93 Tb.upf
Ni 58.69 Ni.upf
Al 26.98 Al.upf
CELL_PARAMETERS angstrom
4.987 0.000 0.000
-2.493 4.319 0.000
0.000 0.000 15.834
ATOMIC_POSITIONS angstrom
Tb 2.493 1.440 3.958
Ni -1.231 3.590 5.925
Ni 0.000 1.458 1.992
Ni 1.231 3.590 1.992
Tb 2.493 1.440 7.189
Ni 0.000 1.458 5.925
Ni -1.231 3.590 1.992
Ni 3.724 0.729 9.909
Ni 1.262 0.729 9.909
Ni 2.493 2.861 13.842
Ni 0.000 0.000 11.875
Ni 0.000 2.879 3.958
Tb 0.000 2.879 8.644
Tb 2.493 1.440 0.728
Ni 3.724 0.729 13.842
Ni 2.493 2.861 9.909
Tb 0.000 2.879 11.875
Ni 1.231 3.590 5.925
Ni 2.493 1.440 11.875
Tb 0.000 2.879 15.106
Al 0.000 0.000 0.000
Ni 0.000 0.000 3.958
Al 0.000 0.000 7.917
Ni 1.262 0.729 13.842
```

Computed properties:
Size of the total moment, μB/cell: 0.003
DOS at the Fermi energy, states/eV/f.u.: 11.4
E, eV for the cell shown: -147.4
Calculated formation energy, eV per atom: -0.44
Space-group type: P6_3/mmc

=====

11.
Material: MgCr2W
Method: DFT, PBEsol
State: optimized geometry Values from VASP.

Quantum ESPRESSO input file:
```
&SYSTEM
  ibrav = 0, nat = 4, ntyp = 3
/
ATOMIC_SPECIES
W 183.84 W.upf
Cr 52.00 Cr.upf
Mg 24.30 Mg.upf
CELL_PARAMETERS angstrom
2.565 0.000 -0.001
-0.885 4.932 0.005
-0.885 -2.337 4.344
ATOMIC_POSITIONS angstrom
W 0.397 1.298 2.174
Cr -0.443 -1.168 2.172
Mg 1.282 0.000 0.000
Cr -0.443 2.466 0.002
```

Computed properties:
ΔE to the lowest computed polymorph, eV/atom: 0.056
Size of the total moment, μB/cell: 0.001
DOS at the Fermi energy, states/eV/f.u.: 2.8
E, eV for the cell shown: -33.9
Calculated formation energy, eV per atom: 0.52
Space-group type: C2/m

=====

12.
Material: SrTcNi
Method: DFT, PBEsol
State: optimized geometry Values from VASP.

Quantum ESPRESSO input file:
```
&SYSTEM
  ibrav = 0, nat = 3, ntyp = 3
/
ATOMIC_SPECIES
Ni 58.69 Ni.upf
Tc 98.00 Tc.upf
Sr 87.62 Sr.upf
CELL_PARAMETERS angstrom
-0.033 -2.491 3.766
3.621 -2.456 1.114
2.548 1.206 3.528
ATOMIC_POSITIONS angstrom
Ni 3.068 -1.871 4.204
Tc 0.000 0.000 0.000
Sr 1.534 -0.935 2.102
```

Computed properties:
Size of the total moment, μB/cell: 2.942
DOS at the Fermi energy, states/eV/f.u.: 2.3
E, eV for the cell shown: -13.5
Calculated formation energy, eV per atom: 1.93
Space-group type: F-43m